Compound: BaGaRu2
Source: the Alexandria database
Functional: GGA-PBE
Structure: optimized geometry

Cell: 4.844 4.844 9.447 Å, 75.15 75.15 90.00°
Positions (direct):
Ru: 0.375 0.601 0.750
Ru: 0.351 0.625 0.250
Ru: 0.399 0.125 0.250
Ru: 0.875 0.649 0.750
Ba: 0.000 0.000 0.000
Ba: 0.750 0.250 0.500
Ga: 0.250 0.750 0.500
Ga: 0.500 0.500 0.000

Crystal system: tetragonal
E, eV for the cell shown: -44.73